# 1
# Sr2In6AgSn

A relaxed structure of Sr2In6AgSn (PBE, Alexandria via LeMat-Bulk).

Unit cell a=7.3547 b=7.3547 c=39.8834 alpha=90.00 beta=90.00 gamma=120.00
Space group R-3m (No. 166, hexagonal axes)
Symmetry-distinct sites (fractional):
Sr 0.0000 0.0000 0.1055 (multiplicity 6)
Sr 0.0000 0.0000 0.2781 (multiplicity 6)
In 0.0545 0.5272 0.3041 (multiplicity 18)
In 0.0645 0.5322 0.8634 (multiplicity 18)
Ag 0.0000 0.0000 0.0000 (multiplicity 3)
Ag 0.0000 0.0000 0.5000 (multiplicity 3)
Sn 0.0000 0.0000 0.4254 (multiplicity 6)

Calculated values
* magnetic moment: 0.000 Bohr magnetons per cell
* V: 1868.33 Å³ per cell
* ρ: 5817 kg/m3
* formation energy from the elements: -0.131 eV/atom
* DOS at the Fermi energy: 26.88 states/eV/cell
* total DFT energy (no corrections): -0.1027 Ha/atom

# 2
# InAg2SnTe4

A relaxed structure of InAg2SnTe4 (PBE, Alexandria via LeMat-Bulk).

Unit cell a=9.407 b=9.422 c=13.005 alpha=90.00 beta=90.00 gamma=90.00
Space group Fmm2 (No. 42)
Symmetry-distinct sites (fractional):
In 0.000 0.000 0.000 (multiplicity 4)
Ag 0.250 0.250 0.250 (multiplicity 8)
Sn 0.000 0.000 0.500 (multiplicity 4)
Te 0.000 0.243 0.868 (multiplicity 8)
Te 0.244 0.000 0.132 (multiplicity 8)

Calculated values
* magnetic moment: 0.000 Bohr magnetons per cell
* V: 1152.61 Å³ per cell
* ρ: 5530 kg/m3
* raw formation energy: -0.186 eV/atom
* DOS at the Fermi energy: 14.25 states/eV/cell
* total DFT energy (no corrections): -0.1217 Ha/atom

# 3
# TlInAgSn

A relaxed structure of TlInAgSn (PBE, Alexandria via LeMat-Bulk).

Unit cell a=7.449 b=7.449 c=7.449 alpha=90.00 beta=90.00 gamma=90.00
Space group F-43m (No. 216)
Symmetry-distinct sites (fractional):
Tl 0.000 0.000 0.000 (multiplicity 4)
In 0.250 0.250 0.250 (multiplicity 4)
Ag 0.250 0.250 0.750 (multiplicity 4)
Sn 0.000 0.000 0.500 (multiplicity 4)

Calculated values
* magnetic moment: 0.000 Bohr magnetons per cell
* V: 413.34 Å³ per cell
* E above lowest polymorph: 98.9 meV/atom
* ρ: 8770 kg/m3
* formation energy from the elements: 0.128 eV/atom
* DOS at the Fermi energy: 9.45 states/eV/cell
* total DFT energy (no corrections): -0.1051 Ha/atom

# 4
# TlInAgSn

A relaxed structure of TlInAgSn (PBE, Alexandria via LeMat-Bulk).

Unit cell a=3.411 b=3.411 c=8.809 alpha=90.00 beta=90.00 gamma=90.00
Space group P4mm (No. 99)
Symmetry-distinct sites (fractional):
Tl 0.000 0.000 0.000 (multiplicity 1)
In 0.500 0.500 0.284 (multiplicity 1)
Ag 0.000 0.000 0.493 (multiplicity 1)
Sn 0.500 0.500 0.702 (multiplicity 1)

Calculated values
* magnetic moment: 0.000 Bohr magnetons per cell
* V: 102.49 Å³ per cell
* E above lowest polymorph: 0.0 meV/atom
* ρ: 8843 kg/m3
* formation energy from the elements: 0.029 eV/atom
* DOS at the Fermi energy: 1.60 states/eV/cell
* total DFT energy (no corrections): -0.1088 Ha/atom

# 5
# TmInAgSn

A relaxed structure of TmInAgSn (PBE, Alexandria via LeMat-Bulk).

Unit cell a=7.281 b=7.281 c=7.281 alpha=90.00 beta=90.00 gamma=90.00
Space group F-43m (No. 216)
Symmetry-distinct sites (fractional):
Tm 0.000 0.000 0.000 (multiplicity 4)
In 0.000 0.000 0.500 (multiplicity 4)
Ag 0.250 0.250 0.250 (multiplicity 4)
Sn 0.250 0.250 0.750 (multiplicity 4)

Calculated values
* magnetic moment: 0.000 Bohr magnetons per cell
* V: 386.04 Å³ per cell
* E above lowest polymorph: 214.0 meV/atom
* ρ: 8781 kg/m3
* formation energy from the elements: -0.163 eV/atom
* DOS at the Fermi energy: 18.10 states/eV/cell
* total DFT energy (no corrections): -0.1352 Ha/atom

# 6
# TmInAgSn

A relaxed structure of TmInAgSn (PBE, Alexandria via LeMat-Bulk).

Unit cell a=4.390 b=4.414 c=4.762 alpha=90.00 beta=90.00 gamma=90.00
Space group Pmmm (No. 47)
Symmetry-distinct sites (fractional):
Tm 0.000 0.000 0.000 (multiplicity 1)
In 0.000 0.500 0.500 (multiplicity 1)
Ag 0.500 0.000 0.500 (multiplicity 1)
Sn 0.500 0.500 0.000 (multiplicity 1)

Calculated values
* magnetic moment: 0.000 Bohr magnetons per cell
* V: 92.27 Å³ per cell
* E above lowest polymorph: 0.0 meV/atom
* ρ: 9185 kg/m3
* formation energy from the elements: -0.377 eV/atom
* DOS at the Fermi energy: 2.03 states/eV/cell
* total DFT energy (no corrections): -0.1431 Ha/atom

# 7
# YInAgSn

A relaxed structure of YInAgSn (PBE, Alexandria via LeMat-Bulk).

Unit cell a=4.444 b=4.450 c=4.770 alpha=90.00 beta=90.00 gamma=90.00
Space group Pmmm (No. 47)
Symmetry-distinct sites (fractional):
Y 0.000 0.000 0.000 (multiplicity 1)
In 0.000 0.500 0.500 (multiplicity 1)
Ag 0.500 0.000 0.500 (multiplicity 1)
Sn 0.500 0.500 0.000 (multiplicity 1)

Calculated values
* magnetic moment: 0.000 Bohr magnetons per cell
* V: 94.33 Å³ per cell
* ρ: 7575 kg/m3
* formation energy from the elements: -0.427 eV/atom
* DOS at the Fermi energy: 2.03 states/eV/cell
* total DFT energy (no corrections): -0.1632 Ha/atom

# 8
# ZnInAgSn

A relaxed structure of ZnInAgSn (PBE, Alexandria via LeMat-Bulk).

Unit cell a=7.067 b=7.067 c=7.067 alpha=90.00 beta=90.00 gamma=90.00
Space group F-43m (No. 216)
Symmetry-distinct sites (fractional):
Zn 0.000 0.000 0.000 (multiplicity 4)
In 0.250 0.250 0.250 (multiplicity 4)
Ag 0.000 0.000 0.500 (multiplicity 4)
Sn 0.250 0.250 0.750 (multiplicity 4)

Calculated values
* magnetic moment: 0.000 Bohr magnetons per cell
* V: 352.97 Å³ per cell
* ρ: 7655 kg/m3
* formation energy from the elements: 0.132 eV/atom
* DOS at the Fermi energy: 11.52 states/eV/cell
* total DFT energy (no corrections): -0.0950 Ha/atom

# 9
# ZrInAgSn

A relaxed structure of ZrInAgSn (PBE, Alexandria via LeMat-Bulk).

Unit cell a=4.196 b=4.410 c=4.621 alpha=90.00 beta=90.00 gamma=90.00
Space group Pmmm (No. 47)
Symmetry-distinct sites (fractional):
Zr 0.000 0.000 0.000 (multiplicity 1)
In 0.500 0.000 0.500 (multiplicity 1)
Ag 0.000 0.500 0.500 (multiplicity 1)
Sn 0.500 0.500 0.000 (multiplicity 1)

Calculated values
* magnetic moment: 0.000 Bohr magnetons per cell
* V: 85.53 Å³ per cell
* ρ: 8399 kg/m3
* formation energy from the elements: -0.251 eV/atom
* DOS at the Fermi energy: 1.80 states/eV/cell
* total DFT energy (no corrections): -0.1759 Ha/atom

# 10
# Sr3In2Ag3

A relaxed structure of Sr3In2Ag3 (PBE, Alexandria via LeMat-Bulk).

Unit cell a=4.652 b=12.760 c=15.915 alpha=90.00 beta=90.00 gamma=90.00
Space group Cmcm (No. 63)
Symmetry-distinct sites (fractional):
Sr 0.000 0.075 0.110 (multiplicity 8)
Sr 0.000 0.359 0.250 (multiplicity 4)
In 0.000 0.219 0.586 (multiplicity 8)
Ag 0.000 0.335 0.750 (multiplicity 4)
Ag 0.000 0.397 0.039 (multiplicity 8)

Calculated values
* magnetic moment: 0.000 Bohr magnetons per cell
* V: 944.65 Å³ per cell
* ρ: 5738 kg/m3
* formation energy from the elements: -0.342 eV/atom
* DOS at the Fermi energy: 15.64 states/eV/cell
* total DFT energy (no corrections): -0.1002 Ha/atom

# 11
# SrInAg2

A relaxed structure of SrInAg2 (PBE, Alexandria via LeMat-Bulk).

Unit cell a=8.215 b=7.588 c=6.656 alpha=90.00 beta=90.00 gamma=90.00
Space group Pnma (No. 62)
Symmetry-distinct sites (fractional):
Sr 0.023 0.250 0.155 (multiplicity 4)
In 0.128 0.750 0.342 (multiplicity 4)
Ag 0.177 0.056 0.572 (multiplicity 8)

Calculated values
* magnetic moment: 0.000 Bohr magnetons per cell
* V: 414.89 Å³ per cell
* ρ: 6695 kg/m3
* formation energy from the elements: -0.281 eV/atom
* DOS at the Fermi energy: 5.86 states/eV/cell
* total DFT energy (no corrections): -0.1033 Ha/atom

# 12
# SrIn2Ag

A relaxed structure of SrIn2Ag (PBE, Alexandria via LeMat-Bulk).

Unit cell a=3.782 b=5.045 c=5.989 alpha=90.00 beta=90.06 gamma=90.00
Space group Pm (No. 6)
Symmetry-distinct sites (fractional):
Sr 0.000 0.000 0.000 (multiplicity 1)
In 0.499 0.000 0.515 (multiplicity 1)
In 0.501 0.500 0.255 (multiplicity 1)
Ag 0.500 0.500 0.765 (multiplicity 1)

Calculated values
* magnetic moment: 0.000 Bohr magnetons per cell
* V: 114.27 Å³ per cell
* ρ: 6178 kg/m3
* formation energy from the elements: -0.213 eV/atom
* DOS at the Fermi energy: 1.78 states/eV/cell
* total DFT energy (no corrections): -0.0998 Ha/atom